BaCaInBi after structural relaxation. Source: Alexandria, functional GGA-PBE.

Summary:
Total moment: 0.000 μB/f.u.
ΔE_f: -0.5370 eV per atom
Calculated total energy: -0.2332 Ry/atom

```
data_BaCaInBi
_chemical_formula_sum 'Ba4 Ca4 In4 Bi4'
_cell_length_a 8.2714
_cell_length_b 8.2714
_cell_length_c 8.2714
_cell_angle_alpha 90.00
_cell_angle_beta 90.00
_cell_angle_gamma 90.00
_space_group_name_H-M_alt 'F -4 3 m'
_space_group_IT_number 216
_space_group_name_Hall 'F -4 2 3'
loop_
_atom_site_label
_atom_site_type_symbol
_atom_site_fract_x
_atom_site_fract_y
_atom_site_fract_z
Ba1 Ba 0.0000 0.0000 0.0000
Ca1 Ca 0.0000 0.0000 0.5000
In1 In 0.2500 0.2500 0.2500
Bi1 Bi 0.2500 0.2500 0.7500
```

---

BaCa2LaBi after structural relaxation. Source: Alexandria, functional GGA-PBE.

Summary:
Total moment: 0.000 μB/f.u.
ΔE_f: 0.7137 eV per atom
Calculated total energy: -0.1641 Ry/atom

```
data_BaCa2LaBi
_chemical_formula_sum 'Ba1 Ca2 La1 Bi1'
_cell_length_a 5.8298
_cell_length_b 5.8298
_cell_length_c 5.8702
_cell_angle_alpha 90.00
_cell_angle_beta 90.00
_cell_angle_gamma 90.00
_space_group_name_H-M_alt 'P 4/m m m'
_space_group_IT_number 123
_space_group_name_Hall '-P 4 2'
loop_
_atom_site_label
_atom_site_type_symbol
_atom_site_fract_x
_atom_site_fract_y
_atom_site_fract_z
Ba1 Ba 0.0000 0.0000 0.0000
Ca1 Ca 0.0000 0.5000 0.0000
La1 La 0.0000 0.0000 0.5000
Bi1 Bi 0.5000 0.5000 0.5000
```

---

BaLi2Ca2Bi2 after structural relaxation. Source: Alexandria, functional GGA-PBE.

Summary:
Total moment: 0.000 μB/f.u.
ΔE_f: -0.6442 eV per atom
Calculated total energy: -0.2313 Ry/atom

```
data_BaLi2Ca2Bi2
_chemical_formula_sum 'Ba3 Li6 Ca6 Bi6'
_cell_length_a 5.0380
_cell_length_b 5.0380
_cell_length_c 29.5890
_cell_angle_alpha 90.00
_cell_angle_beta 90.00
_cell_angle_gamma 120.00
_space_group_name_H-M_alt 'R -3 m'
_space_group_IT_number 166
_space_group_name_Hall '-R 3 2"'
loop_
_atom_site_label
_atom_site_type_symbol
_atom_site_fract_x
_atom_site_fract_y
_atom_site_fract_z
Ba1 Ba 0.0000 0.0000 0.0000
Li1 Li 0.0000 0.0000 0.4327
Ca1 Ca 0.0000 0.0000 0.1363
Bi1 Bi 0.0000 0.0000 0.2540
```

---

BaLi2CaBi2 after structural relaxation. Source: Alexandria, functional GGA-PBE.

Summary:
Total moment: 0.000 μB/f.u.
ΔE_f: -0.8253 eV per atom
Calculated total energy: -0.2507 Ry/atom

```
data_BaLi2CaBi2
_chemical_formula_sum 'Ba1 Li2 Ca1 Bi2'
_cell_length_a 4.9703
_cell_length_b 4.9703
_cell_length_c 8.3996
_cell_angle_alpha 90.00
_cell_angle_beta 90.00
_cell_angle_gamma 120.00
_space_group_name_H-M_alt 'P -3 m 1'
_space_group_IT_number 164
_space_group_name_Hall '-P 3 2"'
loop_
_atom_site_label
_atom_site_type_symbol
_atom_site_fract_x
_atom_site_fract_y
_atom_site_fract_z
Ba1 Ba 0.0000 0.0000 0.0000
Li1 Li 0.3333 0.6667 0.6671
Ca1 Ca 0.0000 0.0000 0.5000
Bi1 Bi 0.3333 0.6667 0.2772
```

---

BaCaMg2Bi after structural relaxation. Source: Alexandria, functional GGA-PBE.

Summary:
Total moment: 0.000 μB/f.u.
ΔE_f: 0.5493 eV per atom
Calculated total energy: -0.1212 Ry/atom

```
data_BaCaMg2Bi
_chemical_formula_sum 'Ba1 Ca1 Mg2 Bi1'
_cell_length_a 6.0808
_cell_length_b 6.0808
_cell_length_c 6.4279
_cell_angle_alpha 90.00
_cell_angle_beta 90.00
_cell_angle_gamma 90.00
_space_group_name_H-M_alt 'P 4/m m m'
_space_group_IT_number 123
_space_group_name_Hall '-P 4 2'
loop_
_atom_site_label
_atom_site_type_symbol
_atom_site_fract_x
_atom_site_fract_y
_atom_site_fract_z
Ba1 Ba 0.0000 0.0000 0.0000
Ca1 Ca 0.5000 0.5000 0.5000
Mg1 Mg 0.0000 0.5000 0.0000
Bi1 Bi 0.0000 0.0000 0.5000
```

---

BaCa2BiN after structural relaxation. Source: Alexandria, functional GGA-PBE.

Summary:
Total moment: 0.000 μB/f.u.
Energy relative to the elements, uncorrected: -0.838 eV/atom
Calculated total energy: -0.3281 Ry/atom

```
data_BaCa2BiN
_chemical_formula_sum 'Ba1 Ca2 Bi1 N1'
_cell_length_a 5.0313
_cell_length_b 5.0313
_cell_length_c 5.5366
_cell_angle_alpha 90.00
_cell_angle_beta 90.00
_cell_angle_gamma 90.00
_space_group_name_H-M_alt 'P 4/m m m'
_space_group_IT_number 123
_space_group_name_Hall '-P 4 2'
loop_
_atom_site_label
_atom_site_type_symbol
_atom_site_fract_x
_atom_site_fract_y
_atom_site_fract_z
Ba1 Ba 0.0000 0.0000 0.0000
Ca1 Ca 0.0000 0.5000 0.5000
Bi1 Bi 0.5000 0.5000 0.0000
N1 N 0.0000 0.0000 0.5000
```

---

Ba2Na3CaBi4 after structural relaxation. Source: Alexandria, functional GGA-PBE.

Summary:
Total moment: 0.000 μB/f.u.
ΔE_f: -0.6293 eV per atom
Calculated total energy: -0.2324 Ry/atom

```
data_Ba2Na3CaBi4
_chemical_formula_sum 'Ba2 Na3 Ca1 Bi4'
_cell_length_a 5.1693
_cell_length_b 5.1693
_cell_length_c 13.2798
_cell_angle_alpha 90.00
_cell_angle_beta 90.00
_cell_angle_gamma 90.00
_space_group_name_H-M_alt 'P -4 m 2'
_space_group_IT_number 115
loop_
_space_group_symop_operation_xyz
'x,y,z'
'y,-x,-z'
'-x,-y,z'
'-y,x,-z'
'-x,y,z'
'-y,-x,-z'
'x,-y,z'
'y,x,-z'
loop_
_atom_site_label
_atom_site_type_symbol
_atom_site_fract_x
_atom_site_fract_y
_atom_site_fract_z
Ba1 Ba 0.0000 0.5000 0.2306
Na1 Na 0.0000 0.5000 0.8683
Na2 Na 0.5000 0.5000 0.5000
Ca1 Ca 0.0000 0.0000 0.5000
Bi1 Bi 0.0000 0.0000 0.0000
Bi2 Bi 0.0000 0.5000 0.6447
Bi3 Bi 0.5000 0.5000 0.0000
```

---

BaCaNbBi2 after structural relaxation. Source: Alexandria, functional GGA-PBE.

Summary:
Total moment: 4.360 μB/f.u.
ΔE_f: 0.9671 eV per atom
Calculated total energy: -0.2487 Ry/atom

```
data_BaCaNbBi2
_chemical_formula_sum 'Ba1 Ca1 Nb1 Bi2'
_cell_length_a 5.7890
_cell_length_b 5.7890
_cell_length_c 6.0080
_cell_angle_alpha 90.00
_cell_angle_beta 90.00
_cell_angle_gamma 90.00
_space_group_name_H-M_alt 'P 4/m m m'
_space_group_IT_number 123
_space_group_name_Hall '-P 4 2'
loop_
_atom_site_label
_atom_site_type_symbol
_atom_site_fract_x
_atom_site_fract_y
_atom_site_fract_z
Ba1 Ba 0.0000 0.0000 0.0000
Ca1 Ca 0.0000 0.0000 0.5000
Nb1 Nb 0.5000 0.5000 0.0000
Bi1 Bi 0.0000 0.5000 0.5000
```